No. 1
# TaNi2Ge2 | the Alexandria database | PBE | relaxed
# Magnetization (μB/f.u.): 0.0
# Energy relative to the elements (kcal/mol of atoms): -4.1
# Energy (eV per formula unit): -33.536
data_TaNi2Ge2
_symmetry_space_group_name_H-M 'P 4/m b m'
_symmetry_Int_Tables_number 127
_symmetry_space_group_name_Hall '-P 4 2ab'
_cell_length_a 7.0506
_cell_length_b 7.0506
_cell_length_c 2.8077
_cell_angle_alpha 90.00
_cell_angle_beta 90.00
_cell_angle_gamma 90.00
loop_
_atom_site_label
_atom_site_type_symbol
_atom_site_fract_x
_atom_site_fract_y
_atom_site_fract_z
Ta1 Ta 0.0000 0.0000 0.0000
Ni1 Ni 0.1455 0.3545 0.5000
Ge1 Ge 0.1483 0.6483 0.0000



No. 2
# Pm2Y4Sc | the Alexandria database | PBE | relaxed
# Magnetization (μB/f.u.): 0.0
# Offset from the most stable computed form (meV/atom): 0
# Energy relative to the elements (kcal/mol of atoms): 0.5
# Energy (eV per formula unit): -41.525
data_Pm2Y4Sc
_symmetry_space_group_name_H-M 'R 3 m'
_symmetry_Int_Tables_number 160
_symmetry_space_group_name_Hall 'R 3 -2"'
_cell_length_a 3.6005
_cell_length_b 3.6005
_cell_length_c 59.6819
_cell_angle_alpha 90.00
_cell_angle_beta 90.00
_cell_angle_gamma 120.00
loop_
_atom_site_label
_atom_site_type_symbol
_atom_site_fract_x
_atom_site_fract_y
_atom_site_fract_z
Pm1 Pm 0.0000 0.0000 0.0000
Pm2 Pm 0.0000 0.0000 0.0980
Y1 Y 0.0000 0.0000 0.2843
Y2 Y 0.0000 0.0000 0.3827
Y3 Y 0.0000 0.0000 0.8139
Y4 Y 0.0000 0.0000 0.9028
Sc1 Sc 0.0000 0.0000 0.1917



No. 3
# AlTlPd2 | the Alexandria database | PBE | relaxed
# Magnetization (μB/f.u.): 0.0
# Offset from the most stable computed form (meV/atom): 430
# Energy relative to the elements (kcal/mol of atoms): -1.6
# Energy (eV per formula unit): -16.775
data_AlTlPd2
_symmetry_space_group_name_H-M 'I -4 2 d'
_symmetry_Int_Tables_number 122
_symmetry_space_group_name_Hall 'I -4 2bw'
_cell_length_a 4.1942
_cell_length_b 4.1942
_cell_length_c 17.8044
_cell_angle_alpha 90.00
_cell_angle_beta 90.00
_cell_angle_gamma 90.00
loop_
_atom_site_label
_atom_site_type_symbol
_atom_site_fract_x
_atom_site_fract_y
_atom_site_fract_z
Al1 Al 0.0000 0.0000 0.0000
Tl1 Tl 0.0000 0.0000 0.5000
Pd1 Pd 0.2175 0.2500 0.1250